Density functional theory data (PBE+U) for a relaxed LiMn3O4F2 crystal.

The volume comes out at 11.93 Å³/atom. The energy above the most stable polymorph in this dataset comes out at 198 meV/atom. For the density of states at the Fermi level, the calculation gives 0.173 states/eV per atom. The total energy comes out at -6.491 eV/atom.

It has space group P1 (No. 1), with a = 4.525 Å, b = 5.493 Å, c = 5.593 Å, α = 83.89°, β = 68.70° and γ = 67.18°. Symmetry generates all atoms from Li at (0.000, 0.000, 0.000), Mn at (0.250, 0.462, 0.078), Mn at (0.403, 0.865, 0.377), Mn at (0.848, 0.650, 0.680), O at (0.326, 0.689, 0.749), O at (0.607, 0.472, 0.194), O at (0.918, 0.386, 0.970), O at (0.938, 0.807, 0.331), F at (0.119, 0.269, 0.447) and F at (0.563, 0.018, 0.977).